1.
Cs2BeCd: optimized geometry, GGA-PBE.

As for the density of states at the Fermi level: 21.1 states/eV/cell. For the calculated density, the calculation gives 3.218 g cm⁻³. For the formation energy, the calculation gives 0.740 eV per atom.

The structure belongs to space group I-42d (No. 122); the cell edges are 10.2246, 10.2246 and 7.6445 Å and the angles 90.00°, 90.00° and 90.00°. The inequivalent atoms are Cs at (0.2230, 0.7500, 0.1250), Be at (0.0000, 0.0000, 0.0000) and Cd at (0.0000, 0.0000, 0.5000).

=====

2.
CsBe3Cd: optimized geometry, GGA-PBE.

As for the density of states at the Fermi level: 3.0 states/eV/cell. For the calculated density, the calculation gives 3.959 g cm⁻³. For the formation energy, the calculation gives 1.038 eV per atom.

The structure belongs to space group Pm-3m (No. 221); the cell edges are 4.8522, 4.8522 and 4.8522 Å and the angles 90.00°, 90.00° and 90.00°. The inequivalent atoms are Cs at (0.0000, 0.0000, 0.0000), Be at (0.0000, 0.5000, 0.5000) and Cd at (0.5000, 0.5000, 0.5000).

=====

3.
Cs3BeCd: optimized geometry, GGA-PBE.

As for the density of states at the Fermi level: 4.8 states/eV/cell. For the calculated density, the calculation gives 2.517 g cm⁻³. For the formation energy, the calculation gives 0.565 eV per atom.

The structure belongs to space group Pm-3m (No. 221); the cell edges are 7.0014, 7.0014 and 7.0014 Å and the angles 90.00°, 90.00° and 90.00°. The inequivalent atoms are Cs at (0.0000, 0.0000, 0.5000), Be at (0.0000, 0.0000, 0.0000) and Cd at (0.5000, 0.5000, 0.5000).

=====

4.
CsBe3Cd: optimized geometry, GGA-PBE.

As for the density of states at the Fermi level: 5.0 states/eV/cell. For the calculated density, the calculation gives 1.551 g cm⁻³. For the formation energy, the calculation gives 2.196 eV per atom.

The structure belongs to space group Pm-3m (No. 221); the cell edges are 6.6307, 6.6307 and 6.6307 Å and the angles 90.00°, 90.00° and 90.00°. The inequivalent atoms are Cs at (0.0000, 0.0000, 0.0000), Be at (0.0000, 0.0000, 0.5000) and Cd at (0.5000, 0.5000, 0.5000).

=====

5.
CsBeCd2: optimized geometry, GGA-PBE.

As for the density of states at the Fermi level: 13.0 states/eV/cell. For the calculated density, the calculation gives 4.101 g cm⁻³. For the formation energy, the calculation gives 0.295 eV per atom.

The structure belongs to space group I4_1/amd (No. 141, origin choice 2); the cell edges are 6.5412, 6.5412 and 13.8810 Å and the angles 90.00°, 90.00° and 90.00°. The inequivalent atoms are Cs at (0.0000, 0.2500, 0.3750), Be at (0.0000, 0.2500, 0.8750) and Cd at (0.0000, 0.0000, 0.0000).

=====

6.
CsBeCdF6: optimized geometry, GGA-PBE.

As for the density of states at the Fermi level: 5.7 states/eV/cell. The raw formation energy is -21.04 eV per formula unit. For the calculated density, the calculation gives 3.773 g cm⁻³.

The structure belongs to space group P312 (No. 149); the cell edges are 5.4102, 5.4102 and 6.3952 Å and the angles 90.00°, 90.00° and 120.00°. The inequivalent atoms are Cs at (0.0000, 0.0000, 0.0000), Be at (0.6667, 0.3333, 0.5000), Cd at (0.3333, 0.6667, 0.5000) and F at (0.4141, 0.0581, 0.6646).

=====

7.
CsBe2CdH8: optimized geometry, GGA-PBE.

Its total DFT energy (no corrections) is -2.88 eV per atom. As for the density of states at the Fermi level: 3.4 states/eV/cell. For the calculated density, the calculation gives 3.161 g cm⁻³.

The structure belongs to space group C2/m (No. 12); the cell edges are 6.4828, 5.4545 and 8.5937 Å and the angles 90.00°, 110.24° and 90.00°. The inequivalent atoms are Cs at (0.0000, 0.0000, 0.0000), Be at (0.0539, 0.5000, 0.3090), Cd at (0.0000, 0.0000, 0.5000), H at (0.0526, 0.2644, 0.6791), H at (0.0762, 0.5000, 0.1522) and H at (0.2096, 0.5000, 0.4811).

=====

8.
Cs2BeCdI6: optimized geometry, GGA-PBE.

As for the density of states at the Fermi level: 0.0 states/eV/cell. The raw formation energy is -8.21 eV per formula unit. For the calculated density, the calculation gives 4.512 g cm⁻³.

The structure belongs to space group I4/mmm (No. 139); the cell edges are 8.2763, 8.2763 and 12.3435 Å and the angles 90.00°, 90.00° and 90.00°. The inequivalent atoms are Cs at (0.0000, 0.5000, 0.2500), Be at (0.0000, 0.0000, 0.0000), Cd at (0.0000, 0.0000, 0.5000), I at (0.0000, 0.0000, 0.2764) and I at (0.2210, 0.2210, 0.0000).

=====

9.
CsBe2CdI8: optimized geometry, GGA-PBE.

As for the density of states at the Fermi level: 57.2 states/eV/cell. The raw formation energy is -7.25 eV per formula unit. For the calculated density, the calculation gives 4.503 g cm⁻³.

The structure belongs to space group R-3 (No. 148, hexagonal axes); the cell edges are 7.2511, 7.2511 and 31.0662 Å and the angles 90.00°, 90.00° and 120.00°. The inequivalent atoms are Cs at (0.0000, 0.0000, 0.0000), Be at (0.0000, 0.0000, 0.2456), Cd at (0.0000, 0.0000, 0.5000), I at (0.0000, 0.0000, 0.3233) and I at (0.0036, 0.6815, 0.7768).

=====

10.
Cs2BeCdP: optimized geometry, GGA-PBE.

As for the density of states at the Fermi level: 2.4 states/eV/cell. For the calculated density, the calculation gives 3.370 g cm⁻³. For the formation energy, the calculation gives -0.028 eV per atom.

The structure belongs to space group P4/mmm (No. 123); the cell edges are 7.2368, 7.2368 and 3.9348 Å and the angles 90.00°, 90.00° and 90.00°. The inequivalent atoms are Cs at (0.0000, 0.5000, 0.0000), Be at (0.0000, 0.0000, 0.5000), Cd at (0.5000, 0.5000, 0.5000) and P at (0.0000, 0.0000, 0.0000).

=====

11.
CsSrBe2Cd: optimized geometry, GGA-PBE.

As for the density of states at the Fermi level: 4.8 states/eV/cell. For the calculated density, the calculation gives 2.513 g cm⁻³. For the formation energy, the calculation gives 1.108 eV per atom.

The structure belongs to space group P4/mmm (No. 123); the cell edges are 6.0051, 6.0051 and 6.4303 Å and the angles 90.00°, 90.00° and 90.00°. The inequivalent atoms are Cs at (0.0000, 0.0000, 0.0000), Sr at (0.5000, 0.5000, 0.5000), Be at (0.0000, 0.5000, 0.5000) and Cd at (0.5000, 0.5000, 0.0000).

=====

12.
BeCd2Cu2: optimized geometry, GGA-PBE.

As for the density of states at the Fermi level: 3.3 states/eV/cell. For the calculated density, the calculation gives 7.222 g cm⁻³. For the formation energy, the calculation gives 0.376 eV per atom.

The structure belongs to space group I4/mmm (No. 139); the cell edges are 3.3287, 3.3287 and 14.9789 Å and the angles 90.00°, 90.00° and 90.00°. The inequivalent atoms are Be at (0.0000, 0.0000, 0.0000), Cd at (0.0000, 0.0000, 0.3998) and Cu at (0.0000, 0.5000, 0.2500).